The following is a PBEsol calculation of a relaxed structure of AlCoAu2, from Alexandria via LeMat-Bulk.

The formation energy from the elements comes out at -130 meV per atom. As for the total magnetic moment: 0.24 μB/f.u.

Unit cell a=3.8294 b=3.9323 c=7.6481 alpha=90.00 beta=90.00 gamma=90.00
Space group Imm2 (No. 44)
Unique sites:
Al  0.0000  0.0000  0.0000 (multiplicity 2)
Co  0.0000  0.5000  0.2581 (multiplicity 2)
Au  0.0000  0.0000  0.5042 (multiplicity 2)
Au  0.0000  0.5000  0.7505 (multiplicity 2)

***

The following is a PBEsol calculation of a relaxed structure of La4MnS6O, from Alexandria via LeMat-Bulk.

As for the total magnetic moment: 5.00 μB/f.u. The value obtained for the uncorrected formation energy is -2.137 eV/atom.

Unit cell a=9.3580 b=9.3580 c=6.7542 alpha=90.00 beta=90.00 gamma=120.00
Space group P6_3mc (No. 186)
Unique sites:
La  0.1969  0.3939  0.0000 (multiplicity 6)
La  0.3333  0.6667  0.5342 (multiplicity 2)
Mn  0.0000  0.0000  0.3039 (multiplicity 2)
S  0.0575  0.5287  0.2795 (multiplicity 6)
S  0.1236  0.2472  0.5998 (multiplicity 6)
O  0.3333  0.6667  0.8805 (multiplicity 2)

***

The following is a PBEsol calculation of a relaxed structure of KNa3Al4Si4O16, from Alexandria via LeMat-Bulk.

The energy relative to the lowest polymorph listed for this composition is 0.0 kJ per mole of atoms. As for the total magnetic moment: 0.00 μB/f.u. The value obtained for the uncorrected formation energy is -2.762 eV/atom.

Unit cell a=9.9984 b=9.9984 c=8.4252 alpha=90.00 beta=90.00 gamma=120.00
Space group P6_3 (No. 173)
Unique sites:
K  0.0000  0.0000  0.0000 (multiplicity 2)
Na  0.0045  0.4470  0.4931 (multiplicity 6)
Al  0.0885  0.3312  0.8063 (multiplicity 6)
Al  0.3333  0.6667  0.2951 (multiplicity 2)
Si  0.0893  0.3321  0.1778 (multiplicity 6)
Si  0.3333  0.6667  0.6926 (multiplicity 2)
O  0.0153  0.3093  0.9999 (multiplicity 6)
O  0.0437  0.7800  0.8041 (multiplicity 6)
O  0.0609  0.7764  0.1716 (multiplicity 6)
O  0.1574  0.5112  0.2314 (multiplicity 6)
O  0.1684  0.5255  0.7551 (multiplicity 6)
O  0.3333  0.6667  0.5005 (multiplicity 2)

***

The following is a PBEsol calculation of a relaxed structure of Ce2BiO2, from Alexandria via LeMat-Bulk.

As for the total magnetic moment: 1.08 μB/f.u. The value obtained for the uncorrected formation energy is -2.577 eV/atom.

Unit cell a=3.9725 b=3.9725 c=12.7810 alpha=90.00 beta=90.00 gamma=90.00
Space group I4/mmm (No. 139)
Unique sites:
Ce  0.0000  0.0000  0.1571 (multiplicity 4)
Bi  0.0000  0.0000  0.5000 (multiplicity 2)
O  0.0000  0.5000  0.2500 (multiplicity 4)

***

The following is a PBEsol calculation of a relaxed structure of V2P, from Alexandria via LeMat-Bulk.

The formation energy from the elements comes out at -858 meV per atom. As for the total magnetic moment: 0.00 μB/f.u.

Unit cell a=6.1197 b=3.2262 c=7.4847 alpha=90.00 beta=90.00 gamma=90.00
Space group Pnma (No. 62)
Unique sites:
V  0.0413  0.2500  0.1666 (multiplicity 4)
V  0.1389  0.2500  0.5587 (multiplicity 4)
P  0.2485  0.7500  0.3577 (multiplicity 4)

***

The following is a PBEsol calculation of a relaxed structure of Sr2LaCdIr, from Alexandria via LeMat-Bulk.

The formation energy from the elements comes out at 942 meV per atom. As for the total magnetic moment: 0.00 μB/f.u.

Unit cell a=5.7003 b=5.7003 c=5.7996 alpha=90.00 beta=90.00 gamma=90.00
Space group P4/mmm (No. 123)
Unique sites:
Sr  0.0000  0.5000  0.0000 (multiplicity 2)
La  0.0000  0.0000  0.5000 (multiplicity 1)
Cd  0.0000  0.0000  0.0000 (multiplicity 1)
Ir  0.5000  0.5000  0.5000 (multiplicity 1)

***

The following is a PBEsol calculation of a relaxed structure of HfAu2, from Alexandria via LeMat-Bulk.

The formation energy from the elements comes out at -624 meV per atom. As for the total magnetic moment: 0.00 μB/f.u.

Unit cell a=3.5180 b=3.5180 c=8.6421 alpha=90.00 beta=90.00 gamma=90.00
Space group I4/mmm (No. 139)
Unique sites:
Hf  0.0000  0.0000  0.0000 (multiplicity 2)
Au  0.0000  0.0000  0.3324 (multiplicity 4)

***

The following is a PBEsol calculation of a relaxed structure of Al2AgCl, from Alexandria via LeMat-Bulk.

The energy relative to the lowest polymorph listed for this composition is 5.3 kJ per mole of atoms. As for the total magnetic moment: 0.00 μB/f.u. The value obtained for the uncorrected formation energy is 0.176 eV/atom.

Unit cell a=6.2208 b=6.2208 c=10.4095 alpha=90.00 beta=90.00 gamma=90.00
Space group I-42d (No. 122)
Unique sites:
Al  0.2242  0.7500  0.1250 (multiplicity 8)
Ag  0.0000  0.0000  0.0000 (multiplicity 4)
Cl  0.0000  0.0000  0.5000 (multiplicity 4)

***

The following is a PBEsol calculation of a relaxed structure of IrRhCl, from Alexandria via LeMat-Bulk.

The energy relative to the lowest polymorph listed for this composition is 20.6 kJ per mole of atoms. As for the total magnetic moment: 0.00 μB/f.u. The value obtained for the uncorrected formation energy is 0.679 eV/atom.

Unit cell a=3.7867 b=3.7867 c=3.6688 alpha=90.00 beta=90.00 gamma=120.00
Space group P3m1 (No. 156)
Unique sites:
Ir  0.0000  0.0000  0.0000 (multiplicity 1)
Rh  0.3333  0.6667  0.6570 (multiplicity 1)
Cl  0.6667  0.3333  0.3138 (multiplicity 1)

***

The following is a PBEsol calculation of a relaxed structure of PPtIO2, from Alexandria via LeMat-Bulk.

As for the total magnetic moment: 0.00 μB/f.u. The value obtained for the uncorrected formation energy is 0.322 eV/atom.

Unit cell a=3.7575 b=3.7575 c=7.5642 alpha=90.00 beta=90.00 gamma=90.00
Space group P4/mmm (No. 123)
Unique sites:
P  0.0000  0.0000  0.0000 (multiplicity 1)
Pt  0.5000  0.5000  0.5000 (multiplicity 1)
I  0.5000  0.5000  0.0000 (multiplicity 1)
O  0.0000  0.5000  0.5000 (multiplicity 2)

***

The following is a PBEsol calculation of a relaxed structure of Tl2MoAu, from Alexandria via LeMat-Bulk.

The formation energy from the elements comes out at 527 meV per atom. The energy relative to the lowest polymorph listed for this composition is 2.2 kJ per mole of atoms. As for the total magnetic moment: 0.00 μB/f.u.

Unit cell a=4.6340 b=3.1538 c=11.0125 alpha=90.00 beta=90.00 gamma=90.00
Space group Amm2 (No. 38)
Unique sites:
Tl  0.0000  0.0000  0.0000 (multiplicity 2)
Tl  0.5000  0.0000  0.3119 (multiplicity 2)
Mo  0.5000  0.0000  0.5756 (multiplicity 2)
Au  0.0000  0.0000  0.7239 (multiplicity 2)

***

The following is a PBEsol calculation of a relaxed structure of Ta3TeP, from Alexandria via LeMat-Bulk.

As for the total magnetic moment: 0.00 μB/f.u. The value obtained for the uncorrected formation energy is 0.477 eV/atom.

Unit cell a=4.6062 b=4.6062 c=4.6062 alpha=90.00 beta=90.00 gamma=90.00
Space group Pm-3m (No. 221)
Unique sites:
Ta  0.0000  0.0000  0.5000 (multiplicity 3)
Te  0.5000  0.5000  0.5000 (multiplicity 1)
P  0.0000  0.0000  0.0000 (multiplicity 1)